Material: Mg6SiCO8
Method: DFT, PBE
State: optimized geometry

POSCAR file:
```
Mg6SiCO8
1.0
4.280 0.000 0.000
0.000 4.280 0.000
0.000 0.000 8.500
Mg Si C O
6 1 1 8
Direct
0.000 0.000 0.500
0.500 0.500 0.500
0.000 0.500 0.245
0.000 0.500 0.755
0.500 0.000 0.245
0.500 0.000 0.755
0.000 0.000 0.000
0.500 0.500 0.000
0.000 0.000 0.244
0.000 0.000 0.756
0.500 0.500 0.257
0.500 0.500 0.743
0.000 0.500 0.000
0.000 0.500 0.500
0.500 0.000 0.000
0.500 0.000 0.500
```

Symmetry   P4/mmm (123)
Calculated total energy   -5.775 eV/atom
ΔE_f (raw)   -172 kJ/mol of atoms
Excess energy over the best structure of this formula in the dataset   12.8 kJ/mol of atoms

=====

Material: ZrMoHSe2
Method: DFT, PBE
State: optimized geometry

POSCAR file:
```
ZrMoHSe2
1.0
4.647 0.000 0.000
0.000 3.424 0.000
0.000 0.000 4.647
H Mo Se Zr
1 1 2 1
Direct
0.000 0.000 0.000
0.000 0.500 0.000
0.000 0.000 0.500
0.500 0.000 0.000
0.500 0.500 0.500
```

Symmetry   P4/mmm (123)
Calculated total energy   -6.160 eV/atom

=====

Material: UGa6
Method: DFT, PBE
State: optimized geometry

POSCAR file:
```
UGa6
1.0
4.546 0.000 0.000
0.000 4.546 0.000
0.000 0.000 6.645
U Ga
1 6
Direct
0.000 0.000 0.000
0.000 0.000 0.500
0.500 0.500 0.000
0.500 0.000 0.712
0.000 0.500 0.288
0.500 0.000 0.288
0.000 0.500 0.712
```

Symmetry   P4/mmm (123)
E_form   -87 meV per atom
Calculated total energy   -4.294 eV/atom
Excess energy over the best structure of this formula in the dataset   0.0 kJ/mol of atoms

=====

Material: PaZnCd
Method: DFT, PBE
State: optimized geometry

POSCAR file:
```
PaZnCd
1.0
-2.097 1.808 -1.328
-2.206 -1.328 1.674
3.045 4.318 4.623
Zn Pa Cd
1 1 1
Direct
0.674 0.674 0.347
0.009 0.009 0.019
0.317 0.317 0.634
```

Symmetry   I4mm (107)
E_form   52 meV per atom
Calculated total energy   -3.843 eV/atom
Excess energy over the best structure of this formula in the dataset   1.6 kJ/mol of atoms

=====

Material: NbInFeCo
Method: DFT, PBE
State: optimized geometry

POSCAR file:
```
NbInFeCo
1.0
4.356 0.000 0.000
2.178 3.773 0.000
2.178 1.258 3.557
Nb Co Fe In
1 1 1 1
Direct
0.000 0.000 0.000
0.750 0.750 0.750
0.250 0.250 0.250
0.500 0.500 0.500
```

Symmetry   F-43m (216)
E_form   -7 meV per atom
Calculated total energy   -7.101 eV/atom

=====

Material: Sm2MgTl
Method: DFT, PBE
State: optimized geometry

POSCAR file:
```
Sm2MgTl
1.0
4.340 0.000 0.000
0.000 5.112 0.000
0.000 0.000 5.112
Tl Mg Sm
1 1 2
Direct
0.500 0.000 0.000
0.500 0.500 0.500
0.000 0.000 0.500
0.000 0.500 0.000
```

Symmetry   P4/mmm (123)
E_form   -250 meV per atom
Calculated total energy   -3.600 eV/atom
Excess energy over the best structure of this formula in the dataset   0.6 kJ/mol of atoms

=====

Material: Tm4RuPb3
Method: DFT, PBE
State: optimized geometry

POSCAR file:
```
Tm4RuPb3
1.0
-1.289 -2.954 1.219
3.051 -0.748 1.415
-4.703 7.982 14.364
Pb Ru Tm
3 1 4
Direct
0.500 0.500 0.237
0.500 0.500 0.500
0.500 0.500 0.763
0.500 0.500 0.000
0.000 0.000 0.906
0.000 0.000 0.094
0.000 0.000 0.367
0.000 0.000 0.633
```

Symmetry   P4/mmm (123)
E_form   -439 meV per atom
Calculated total energy   -5.224 eV/atom

=====

Material: Sb2Pb4I
Method: DFT, PBE
State: optimized geometry

POSCAR file:
```
Sb2Pb4I
1.0
4.571 0.000 0.000
0.000 7.689 -2.590
0.000 -0.105 7.820
Sb Pb I
2 4 1
Direct
0.000 0.500 0.500
0.500 0.000 0.500
0.500 0.268 0.277
0.500 0.732 0.723
0.000 0.254 0.730
0.000 0.746 0.270
0.000 0.000 0.000
```

Symmetry   P2/m (10)
Calculated total energy   -3.540 eV/atom
ΔE_f (raw)   -2 kJ/mol of atoms